[1]
Density functional theory data (PBEsol) for a relaxed structure of KBeRh.

Cell: 6.0829 6.0829 6.0829 Å, 150.53 150.53 42.17°
Positions (direct):
K 0.0000 0.0000 0.0000
Be 0.2615 0.2615 0.0000
Rh 0.7309 0.7309 0.0000

Formation energy, meV per atom: 88
Symmetry: No. 107
Magnetization, μB per cell: 0.00

[2]
Density functional theory data (PBEsol) for a relaxed structure of BaAlRu2.

Cell: 5.3874 5.3874 3.0058 Å, 105.39 105.39 110.00°
Positions (direct):
Ba 0.0000 0.0000 0.0000
Al 0.5000 0.5000 0.0000
Ru 0.0000 0.5000 0.5000
Ru 0.5000 0.0000 0.5000

Formation energy, meV per atom: 778
Symmetry: No. 12
Magnetization, μB per cell: 0.00

[3]
Density functional theory data (PBEsol) for a relaxed structure of BaYPb2.

Cell: 7.0725 7.0725 7.0725 Å, 144.03 139.57 55.22°
Positions (direct):
Ba 0.0000 0.0000 0.0000
Y 0.7423 0.2423 0.5000
Pb 0.2374 0.7374 0.5000
Pb 0.4193 0.4193 0.0000

Formation energy, meV per atom: -419
Symmetry: No. 44
Magnetization, μB per cell: 0.00

[4]
Density functional theory data (PBEsol) for a relaxed structure of Mn3O2F4.

Cell: 4.6239 5.6662 7.7937 Å, 87.22 88.22 87.93°
Positions (direct):
Mn 0.0000 0.0000 0.0000
Mn 0.0030 0.6909 0.3679
Mn 0.4541 0.5457 0.0455
Mn 0.5023 0.1818 0.3531
Mn 0.5277 0.8636 0.6938
Mn 0.9834 0.3422 0.7008
O 0.2987 0.4753 0.2667
O 0.3102 0.8268 0.9126
O 0.6977 0.8988 0.4607
O 0.8127 0.0522 0.7907
F 0.1892 0.9761 0.2355
F 0.2021 0.3294 0.9318
F 0.2032 0.6470 0.6045
F 0.2880 0.1602 0.5806
F 0.6927 0.5403 0.8169
F 0.7052 0.2021 0.1190
F 0.7902 0.4026 0.4653
F 0.7942 0.7056 0.1317

Symmetry: No. 1
Magnetization, μB per cell: 26.00
Formation energy without anion corrections, eV per atom: -2.00

[5]
Density functional theory data (PBEsol) for a relaxed structure of Sr4YTe.

Cell: 7.0721 7.0721 7.0721 Å, 60.00 60.00 60.00°
Positions (direct):
Sr 0.1254 0.1254 0.1254
Sr 0.1254 0.1254 0.6237
Sr 0.1254 0.6237 0.1254
Sr 0.6237 0.1254 0.1254
Y 0.5000 0.5000 0.5000
Te 0.7500 0.7500 0.7500

Symmetry: No. 216
Magnetization, μB per cell: 0.01
Formation energy without anion corrections, eV per atom: 0.22

[6]
Density functional theory data (PBEsol) for a relaxed structure of InCoMo2.

Cell: 2.7546 4.0949 5.3678 Å, 90.00 94.53 90.00°
Positions (direct):
In 0.0000 0.0000 0.0000
Co 0.0000 0.0000 0.5000
Mo 0.4596 0.5000 0.7212
Mo 0.5404 0.5000 0.2788

Formation energy, meV per atom: 269
Symmetry: No. 10
Magnetization, μB per cell: 0.97

[7]
Density functional theory data (PBEsol) for a relaxed structure of BaSrP.

Cell: 5.1181 5.1181 5.1181 Å, 60.00 60.00 60.00°
Positions (direct):
Ba 0.0000 0.0000 0.0000
Sr 0.2500 0.2500 0.2500
P 0.5000 0.5000 0.5000

Formation energy, meV per atom: -170
Symmetry: No. 216
Magnetization, μB per cell: 0.00

[8]
Density functional theory data (PBEsol) for a relaxed structure of TbAgSn.

Cell: 4.6638 4.6638 7.2864 Å, 90.00 90.00 120.00°
Positions (direct):
Tb 0.0000 0.0000 0.0000
Tb 0.0000 0.0000 0.5000
Ag 0.3333 0.6667 0.1881
Ag 0.6667 0.3333 0.6881
Sn 0.3333 0.6667 0.7788
Sn 0.6667 0.3333 0.2788

Formation energy, meV per atom: -655
Symmetry: No. 186
Magnetization, μB per cell: 0.00

[9]
Density functional theory data (PBEsol) for a relaxed structure of Ti3C2.

Cell: 3.0456 3.0456 15.0081 Å, 90.00 90.00 120.00°
Positions (direct):
Ti 0.0000 0.0000 0.0000
Ti 0.0000 0.0000 0.5000
Ti 0.3333 0.6667 0.1560
Ti 0.3333 0.6667 0.3440
Ti 0.6667 0.3333 0.6560
Ti 0.6667 0.3333 0.8440
C 0.3333 0.6667 0.5855
C 0.3333 0.6667 0.9145
C 0.6667 0.3333 0.0855
C 0.6667 0.3333 0.4145

Formation energy, meV per atom: -743
Symmetry: No. 194
Magnetization, μB per cell: 0.00

[10]
Density functional theory data (PBEsol) for a relaxed structure of Sc2ReW.

Cell: 2.7230 4.6576 5.4253 Å, 90.00 90.00 90.00°
Positions (direct):
Sc 0.0000 0.0000 0.2465
Sc 0.0000 0.0000 0.7535
Re 0.5000 0.5000 0.0000
W 0.5000 0.5000 0.5000

Formation energy, meV per atom: 248
Symmetry: No. 47
Magnetization, μB per cell: 0.00

[11]
Density functional theory data (PBEsol) for a relaxed structure of Zr2MoAu.

Cell: 4.7104 4.7104 4.7104 Å, 60.00 60.00 60.00°
Positions (direct):
Zr 0.2500 0.2500 0.2500
Zr 0.7500 0.7500 0.7500
Mo 0.0000 0.0000 0.0000
Au 0.5000 0.5000 0.5000

Formation energy, meV per atom: -270
Symmetry: No. 225
Magnetization, μB per cell: 0.00

[12]
Density functional theory data (PBEsol) for a relaxed structure of TiPbI3.

Cell: 6.0861 6.0861 6.0861 Å, 90.00 90.00 90.00°
Positions (direct):
Ti 0.0000 0.0000 0.0000
Pb 0.5000 0.5000 0.5000
I 0.0000 0.5000 0.5000
I 0.5000 0.0000 0.5000
I 0.5000 0.5000 0.0000

Symmetry: No. 221
Magnetization, μB per cell: 3.00
Formation energy without anion corrections, eV per atom: 0.43

One value per record, in order, for ρ: 4.6, 8.4, 8.0, 4.4, 3.8, 10.1, 4.5, 9.3, 4.6, 11.1, 10.7, 4.7 g/cm3.